Version i
Tb3Sb2S after structural relaxation, computed with PBE.

a b c (Å): 14.0862 13.4251 7.3775
angles (deg): 79.46 69.55 30.99
Last column: nearest neighbours and their distance in Å.
Atoms (fractional coordinates):
1 Tb 0.0401 0.5367 0.1976  2 S 2.90-2.94, 4 Sb 3.04-3.09
2 Tb 0.1058 0.6442 0.6442  2 S 2.89, 4 Sb 3.02-3.08
3 Tb 0.1976 0.7255 0.0401  2 S 2.90-2.94, 4 Sb 3.04-3.09
4 Tb 0.2745 0.8024 0.4633  2 S 2.90-2.94, 4 Sb 3.04-3.09
5 Tb 0.3558 0.8942 0.8942  2 S 2.89, 4 Sb 3.02-3.08
6 Tb 0.4633 0.9599 0.2745  2 S 2.90-2.94, 4 Sb 3.04-3.09
7 Tb 0.5367 0.0401 0.7255  2 S 2.90-2.94, 4 Sb 3.04-3.09
8 Tb 0.6442 0.1058 0.1058  2 S 2.89, 4 Sb 3.02-3.08
9 Tb 0.7255 0.1976 0.5367  2 S 2.90-2.94, 4 Sb 3.04-3.09
10 Tb 0.8024 0.2745 0.9599  2 S 2.90-2.94, 4 Sb 3.04-3.09
11 Tb 0.8942 0.3558 0.3558  2 S 2.89, 4 Sb 3.02-3.08
12 Tb 0.9599 0.4633 0.8024  2 S 2.90-2.94, 4 Sb 3.04-3.09
13 Sb 0.1268 0.1268 0.6232  6 Tb 3.02-3.08
14 Sb 0.2942 0.2942 0.4558  6 Tb 3.04-3.09
15 Sb 0.3768 0.3768 0.8732  6 Tb 3.02-3.08
16 Sb 0.4558 0.4558 0.2942  6 Tb 3.04-3.09
17 Sb 0.5442 0.5442 0.7058  6 Tb 3.04-3.09
18 Sb 0.6232 0.6232 0.1268  6 Tb 3.02-3.08
19 Sb 0.7058 0.7058 0.5442  6 Tb 3.04-3.09
20 Sb 0.8732 0.8732 0.3768  6 Tb 3.02-3.08
21 S 0.0416 0.0416 0.2084  6 Tb 2.89-2.94
22 S 0.2084 0.2084 0.0416  6 Tb 2.89-2.94
23 S 0.7916 0.7916 0.9584  6 Tb 2.89-2.94
24 S 0.9584 0.9584 0.7916  6 Tb 2.89-2.94

***

Version ii
Tb3Sb2S after structural relaxation, computed with PBE.

a b c (Å): 7.3596 7.3596 7.2398
angles (deg): 90.00 90.00 59.62
Last column: nearest neighbours and their distance in Å.
Atoms (fractional coordinates):
1 Tb 0.0000 0.0000 0.0000  2 S 3.02, 4 Sb 3.08
2 Tb 0.0000 0.0000 0.5000  2 S 3.02, 4 Sb 3.08
3 Tb 0.3467 0.3467 0.0000  2 S 2.94, 4 Sb 3.08-3.11
4 Tb 0.3467 0.3467 0.5000  2 S 2.94, 4 Sb 3.08-3.11
5 Tb 0.6533 0.6533 0.0000  2 S 2.94, 4 Sb 3.08-3.11
6 Tb 0.6533 0.6533 0.5000  2 S 2.94, 4 Sb 3.08-3.11
7 Sb 0.0109 0.3324 0.2500  6 Tb 3.08-3.11
8 Sb 0.3324 0.0109 0.7500  6 Tb 3.08-3.11
9 Sb 0.6676 0.9891 0.2500  6 Tb 3.08-3.11
10 Sb 0.9891 0.6676 0.7500  6 Tb 3.08-3.11
11 S 0.3310 0.6690 0.2500  6 Tb 2.94-3.02
12 S 0.6690 0.3310 0.7500  6 Tb 2.94-3.02

***

The most stable of them is version i.

***

Version i
Tb3SbS2 after structural relaxation, computed with PBE.

a b c (Å): 7.8091 7.8091 7.8091
angles (deg): 125.07 92.72 112.20
Last column: nearest neighbours and their distance in Å.
Atoms (fractional coordinates):
1 Tb 0.0000 0.2290 0.2290  2 S 2.73
2 Tb 0.0000 0.7710 0.7710  2 S 2.73
3 Tb 0.5000 0.0000 0.0000  4 S 2.78
4 Tb 0.5000 0.2290 0.7290  2 S 2.73
5 Tb 0.5000 0.5000 0.5000  4 S 2.78
6 Tb 0.5000 0.7710 0.2710  2 S 2.73
7 Sb 0.1860 0.9360 0.2500  6 Tb 3.21-3.27
8 Sb 0.8140 0.0640 0.7500  6 Tb 3.21-3.27
9 S 0.2638 0.7072 0.5566  4 Tb 2.73-2.78
10 S 0.3494 0.2928 0.0566  4 Tb 2.73-2.78
11 S 0.6506 0.7072 0.9434  4 Tb 2.73-2.78
12 S 0.7362 0.2928 0.4434  4 Tb 2.73-2.78

***

Version ii
Tb3SbS2 after structural relaxation, computed with PBE.

a b c (Å): 7.5191 7.5191 6.7580
angles (deg): 90.00 90.00 88.64
Last column: nearest neighbours and their distance in Å.
Atoms (fractional coordinates):
1 Tb 0.0959 0.9041 0.7500  4 S 2.69
2 Tb 0.2546 0.4299 0.7500  2 S 2.67
3 Tb 0.4299 0.2546 0.2500  2 S 2.67
4 Tb 0.5701 0.7454 0.7500  2 S 2.67
5 Tb 0.7454 0.5701 0.2500  2 S 2.67
6 Tb 0.9041 0.0959 0.2500  4 S 2.69
7 Sb 0.3467 0.6533 0.2500  2 Tb 3.05
8 Sb 0.6533 0.3467 0.7500  2 Tb 3.05
9 S 0.1702 0.1702 0.0000  4 Tb 2.67-2.69
10 S 0.1702 0.1702 0.5000  4 Tb 2.67-2.69
11 S 0.8298 0.8298 0.0000  4 Tb 2.67-2.69
12 S 0.8298 0.8298 0.5000  4 Tb 2.67-2.69

***

The most stable of them is version i.

***

Version i
TbSbS3 after structural relaxation, computed with PBE.

a b c (Å): 7.0938 3.9644 9.7670
angles (deg): 90.00 90.81 90.00
Last column: nearest neighbours and their distance in Å.
Atoms (fractional coordinates):
1 Tb 0.0761 0.2500 0.1784  6 S 2.74-2.82
2 Tb 0.9239 0.7500 0.8216  6 S 2.74-2.82
3 Sb 0.4108 0.2500 0.8126  3 S 2.52-2.62
4 Sb 0.5892 0.7500 0.1874  3 S 2.52-2.62
5 S 0.1030 0.2500 0.6805  1 Sb 2.52, 2 Tb 2.74
6 S 0.2205 0.7500 0.0086  3 Tb 2.77-2.79, 2 Sb 3.08
7 S 0.4279 0.2500 0.3163  2 Sb 2.62, 1 Tb 2.82
8 S 0.5721 0.7500 0.6837  2 Sb 2.62, 1 Tb 2.82
9 S 0.7795 0.2500 0.9914  3 Tb 2.77-2.79, 2 Sb 3.08
10 S 0.8970 0.7500 0.3195  1 Sb 2.52, 2 Tb 2.74

***

Version ii
TbSbS3 after structural relaxation, computed with PBE.

a b c (Å): 6.8283 6.8283 6.9855
angles (deg): 90.00 90.00 120.00
Last column: nearest neighbours and their distance in Å.
Atoms (fractional coordinates):
1 Tb 0.0000 0.0000 0.0000  6 S 2.77
2 Tb 0.0000 0.0000 0.5000  6 S 2.77
3 Sb 0.6667 0.3333 0.0000  6 S 2.78
4 Sb 0.6667 0.3333 0.5000  6 S 2.78
5 S 0.3320 0.0376 0.2500  2 Tb 2.77, 2 Sb 2.78
6 S 0.3320 0.2944 0.7500  2 Tb 2.77, 2 Sb 2.78
7 S 0.7056 0.0376 0.7500  2 Tb 2.77, 2 Sb 2.78
8 S 0.7056 0.6680 0.2500  2 Tb 2.77, 2 Sb 2.78
9 S 0.9624 0.2944 0.2500  2 Tb 2.77, 2 Sb 2.78
10 S 0.9624 0.6680 0.7500  2 Tb 2.77, 2 Sb 2.78

***

The most stable of them is version i.

***

Version i
TcSbS3 after structural relaxation, computed with PBE.

a b c (Å): 4.6516 4.6516 4.6516
angles (deg): 90.00 90.00 90.00
Last column: nearest neighbours and their distance in Å.
Atoms (fractional coordinates):
1 Tc 0.0000 0.0000 0.0000  6 S 2.33
2 Sb 0.5000 0.5000 0.5000  12 S 3.29
3 S 0.0000 0.0000 0.5000  2 Tc 2.33
4 S 0.0000 0.5000 0.0000  2 Tc 2.33
5 S 0.5000 0.0000 0.0000  2 Tc 2.33

***

Version ii
TcSbS3 after structural relaxation, computed with PBE.

a b c (Å): 4.9734 4.9734 4.9734
angles (deg): 90.00 90.00 90.00
Last column: nearest neighbours and their distance in Å.
Atoms (fractional coordinates):
1 Tc 0.0000 0.0000 0.0000  12 S 3.52
2 Sb 0.5000 0.5000 0.5000  6 S 2.49
3 S 0.0000 0.5000 0.5000  2 Sb 2.49
4 S 0.5000 0.0000 0.5000  2 Sb 2.49
5 S 0.5000 0.5000 0.0000  2 Sb 2.49

***

The most stable of them is version i.